First-principles (PBE) data for a relaxed GePbAu crystal, as listed in Alexandria.

Total DFT energy (no corrections) ... -3.880 eV/atom
Magnetic moment ... 0.0000 μB per atom
Excess energy over the best structure of this formula in the dataset ... 0.000 eV per atom
Calculated formation energy ... -0.012 eV/atom

Lattice parameters (Å, degrees): 6.4980 6.6349 8.6306 90.00 127.83 90.00
Fractional coordinates of all 12 atoms:
Ge1 0.2318 0.0764 0.0718
Ge2 0.2318 0.4236 0.5718
Ge3 0.7682 0.5764 0.4282
Ge4 0.7682 0.9236 0.9282
Pb1 0.1919 0.5381 0.9309
Pb2 0.1919 0.9619 0.4309
Pb3 0.8081 0.0381 0.5691
Pb4 0.8081 0.4619 0.0691
Au1 0.3807 0.1521 0.8419
Au2 0.3807 0.3479 0.3419
Au3 0.6193 0.6521 0.6581
Au4 0.6193 0.8479 0.1581